Record 1
Y4MgNi | PBE | relaxed

**DOS at the Fermi energy**: 6.86 states/eV per cell
**Energy of formation**: 622 meV/atom
**Space group**: F-43m
**Raw total energy**: -29.5 eV per formula unit
**V**: 28.70 Å³ per atom

CIF file:
```
data_Y4MgNi
_chemical_formula_sum 'Y4 Mg1 Ni1'
_cell_length_a 6.2447
_cell_length_b 6.2447
_cell_length_c 6.2447
_cell_angle_alpha 60.00
_cell_angle_beta 60.00
_cell_angle_gamma 60.00
_symmetry_space_group_name_H-M 'P 1'
_symmetry_Int_Tables_number 1
loop_
_symmetry_equiv_pos_as_xyz
'x,y,z'
loop_
_atom_site_label
_atom_site_type_symbol
_atom_site_fract_x
_atom_site_fract_y
_atom_site_fract_z
Y1 Y 0.8763 0.3746 0.3746
Y2 Y 0.3746 0.3746 0.8763
Y3 Y 0.3746 0.8763 0.3746
Y4 Y 0.3746 0.3746 0.3746
Mg1 Mg 0.7500 0.7500 0.7500
Ni1 Ni 0.0000 0.0000 0.0000
```

***

Record 2
LuZrGaCu | PBE | relaxed

**DOS at the Fermi energy**: 3.63 states/eV per cell
**Energy of formation**: -335 meV/atom
**Space group**: F-43m
**Raw total energy**: -21.5 eV per formula unit
**V**: 19.39 Å³ per atom

CIF file:
```
data_LuZrGaCu
_chemical_formula_sum 'Lu1 Zr1 Ga1 Cu1'
_cell_length_a 4.7872
_cell_length_b 4.7872
_cell_length_c 4.7872
_cell_angle_alpha 60.00
_cell_angle_beta 60.00
_cell_angle_gamma 60.00
_symmetry_space_group_name_H-M 'P 1'
_symmetry_Int_Tables_number 1
loop_
_symmetry_equiv_pos_as_xyz
'x,y,z'
loop_
_atom_site_label
_atom_site_type_symbol
_atom_site_fract_x
_atom_site_fract_y
_atom_site_fract_z
Lu1 Lu 0.0000 0.0000 0.0000
Ga1 Ga 0.7500 0.7500 0.7500
Zr1 Zr 0.5000 0.5000 0.5000
Cu1 Cu 0.2500 0.2500 0.2500
```

***

Record 3
LaCr2Bi | PBE | relaxed

**DOS at the Fermi energy**: 17.12 states/eV per cell
**Energy of formation**: 763 meV/atom
**Space group**: I-42d
**Raw total energy**: -25.0 eV per formula unit
**V**: 24.93 Å³ per atom

CIF file:
```
data_LaCr2Bi
_chemical_formula_sum 'La2 Cr4 Bi2'
_cell_length_a 4.5637
_cell_length_b 4.5637
_cell_length_c 10.1033
_cell_angle_alpha 76.95
_cell_angle_beta 76.95
_cell_angle_gamma 90.00
_symmetry_space_group_name_H-M 'P 1'
_symmetry_Int_Tables_number 1
loop_
_symmetry_equiv_pos_as_xyz
'x,y,z'
loop_
_atom_site_label
_atom_site_type_symbol
_atom_site_fract_x
_atom_site_fract_y
_atom_site_fract_z
Cr1 Cr 0.8199 0.1250 0.2500
Cr2 Cr 0.9301 0.6250 0.2500
Cr3 Cr 0.3750 0.1801 0.7500
Cr4 Cr 0.8750 0.0699 0.7500
Bi1 Bi 0.0000 0.0000 0.0000
Bi2 Bi 0.7500 0.2500 0.5000
La1 La 0.5000 0.5000 0.0000
La2 La 0.2500 0.7500 0.5000
```

***

Record 4
NbMo2Cl | PBE | relaxed

**DOS at the Fermi energy**: 6.23 states/eV per cell
**Space group**: I-42d
**Energy relative to the elements, uncorrected**: 0.83 eV per atom
**Raw total energy**: -30.2 eV per formula unit
**V**: 16.98 Å³ per atom

CIF file:
```
data_NbMo2Cl
_chemical_formula_sum 'Nb2 Mo4 Cl2'
_cell_length_a 7.2613
_cell_length_b 7.2613
_cell_length_c 5.7447
_cell_angle_alpha 50.80
_cell_angle_beta 50.80
_cell_angle_gamma 90.00
_symmetry_space_group_name_H-M 'P 1'
_symmetry_Int_Tables_number 1
loop_
_symmetry_equiv_pos_as_xyz
'x,y,z'
loop_
_atom_site_label
_atom_site_type_symbol
_atom_site_fract_x
_atom_site_fract_y
_atom_site_fract_z
Mo1 Mo 0.5485 0.1250 0.2500
Mo2 Mo 0.2015 0.6250 0.2500
Mo3 Mo 0.3750 0.4515 0.7500
Mo4 Mo 0.8750 0.7985 0.7500
Nb1 Nb 0.0000 0.0000 0.0000
Nb2 Nb 0.7500 0.2500 0.5000
Cl1 Cl 0.5000 0.5000 0.0000
Cl2 Cl 0.2500 0.7500 0.5000
```

***

Record 5
Pm3NpPa3N8 | PBE | relaxed

**DOS at the Fermi energy**: 13.12 states/eV per cell
**Space group**: R-3m
**Energy relative to the elements, uncorrected**: -1.40 eV per atom
**Raw total energy**: -143.3 eV per formula unit
**V**: 16.61 Å³ per atom

CIF file:
```
data_Pm3NpPa3N8
_chemical_formula_sum 'Pm3 Np1 Pa3 N8'
_cell_length_a 7.0931
_cell_length_b 7.0928
_cell_length_c 7.0332
_cell_angle_alpha 120.28
_cell_angle_beta 90.01
_cell_angle_gamma 120.00
_symmetry_space_group_name_H-M 'P 1'
_symmetry_Int_Tables_number 1
loop_
_symmetry_equiv_pos_as_xyz
'x,y,z'
loop_
_atom_site_label
_atom_site_type_symbol
_atom_site_fract_x
_atom_site_fract_y
_atom_site_fract_z
Pm1 Pm 0.0000 0.0000 0.0000
Pm2 Pm 0.0000 0.5000 0.0000
Pm3 Pm 0.5000 0.5000 0.0000
Np1 Np 0.0000 0.0000 0.5000
Pa1 Pa 0.5000 0.0000 0.5000
Pa2 Pa 0.5000 0.5000 0.5000
Pa3 Pa 0.0000 0.5000 0.5000
N1 N 0.2605 0.5211 0.2816
N2 N 0.7395 0.4789 0.7184
N3 N 0.7744 0.5488 0.3033
N4 N 0.2256 0.4512 0.6967
N5 N 0.7744 0.0290 0.3033
N6 N 0.2256 0.9710 0.6967
N7 N 0.2546 0.0290 0.3033
N8 N 0.7454 0.9710 0.6967
```

***

Record 6
Be2AsRh | PBE | relaxed

**DOS at the Fermi energy**: 0.83 states/eV per cell
**Energy of formation**: -223 meV/atom
**Space group**: Pmmm
**Raw total energy**: -20.3 eV per formula unit
**V**: 11.75 Å³ per atom

CIF file:
```
data_Be2AsRh
_chemical_formula_sum 'Be2 As1 Rh1'
_cell_length_a 2.9672
_cell_length_b 3.1724
_cell_length_c 4.9935
_cell_angle_alpha 90.00
_cell_angle_beta 90.00
_cell_angle_gamma 90.00
_symmetry_space_group_name_H-M 'P 1'
_symmetry_Int_Tables_number 1
loop_
_symmetry_equiv_pos_as_xyz
'x,y,z'
loop_
_atom_site_label
_atom_site_type_symbol
_atom_site_fract_x
_atom_site_fract_y
_atom_site_fract_z
Be1 Be 0.0000 0.0000 0.0157
Be2 Be 0.0000 0.0000 0.4843
As1 As 0.5000 0.5000 0.7500
Rh1 Rh 0.5000 0.5000 0.2500
```

***

Record 7
Hf3CrAs | PBE | relaxed

**DOS at the Fermi energy**: 3.27 states/eV per cell
**Energy of formation**: 433 meV/atom
**Space group**: Pm-3m
**Raw total energy**: -42.0 eV per formula unit
**V**: 24.00 Å³ per atom

CIF file:
```
data_Hf3CrAs
_chemical_formula_sum 'Hf3 Cr1 As1'
_cell_length_a 4.9325
_cell_length_b 4.9325
_cell_length_c 4.9325
_cell_angle_alpha 90.00
_cell_angle_beta 90.00
_cell_angle_gamma 90.00
_symmetry_space_group_name_H-M 'P 1'
_symmetry_Int_Tables_number 1
loop_
_symmetry_equiv_pos_as_xyz
'x,y,z'
loop_
_atom_site_label
_atom_site_type_symbol
_atom_site_fract_x
_atom_site_fract_y
_atom_site_fract_z
Cr1 Cr 0.5000 0.5000 0.5000
As1 As 0.0000 0.0000 0.0000
Hf1 Hf 0.0000 0.5000 0.0000
Hf2 Hf 0.0000 0.0000 0.5000
Hf3 Hf 0.5000 0.0000 0.0000
```